A relaxed structure of Ca3TiCl. Source: the Alexandria database, functional GGA-PBE.

The calculation puts the uncorrected formation energy at 37.28 kJ/mol of atoms. Its distance to the lowest polymorph of the same formula is 543.5 meV per atom.

It has space group Pm-3m (No. 221), with a = 5.961 Å, b = 5.961 Å, c = 5.961 Å, α = 90.00°, β = 90.00° and γ = 90.00°. Symmetry generates all atoms from Ca at (0.000, 0.000, 0.500), Ti at (0.000, 0.000, 0.000) and Cl at (0.500, 0.500, 0.500).

A relaxed structure of CaTi2Cl. Source: the Alexandria database, functional GGA-PBE.

The calculation puts the uncorrected formation energy at 80.28 kJ/mol of atoms. Its distance to the lowest polymorph of the same formula is 549.9 meV per atom.

It has space group Fm-3m (No. 225), with a = 7.004 Å, b = 7.004 Å, c = 7.004 Å, α = 90.00°, β = 90.00° and γ = 90.00°. Symmetry generates all atoms from Ca at (0.000, 0.000, 0.000), Ti at (0.250, 0.250, 0.250) and Cl at (0.000, 0.000, 0.500).

A relaxed structure of Ca3TiCl. Source: the Alexandria database, functional GGA-PBE.

The calculation puts the uncorrected formation energy at -15.16 kJ/mol of atoms. Its distance to the lowest polymorph of the same formula is 0.0 meV per atom.

It has space group Pm-3m (No. 221), with a = 5.434 Å, b = 5.434 Å, c = 5.434 Å, α = 90.00°, β = 90.00° and γ = 90.00°. Symmetry generates all atoms from Ca at (0.000, 0.000, 0.500), Ti at (0.500, 0.500, 0.500) and Cl at (0.000, 0.000, 0.000).

A relaxed structure of Ca2TiCl. Source: the Alexandria database, functional GGA-PBE.

The calculation puts the uncorrected formation energy at 12.59 kJ/mol of atoms. Its distance to the lowest polymorph of the same formula is 224.1 meV per atom.

It has space group Fm-3m (No. 225), with a = 7.832 Å, b = 7.832 Å, c = 7.832 Å, α = 90.00°, β = 90.00° and γ = 90.00°. Symmetry generates all atoms from Ca at (0.250, 0.250, 0.250), Ti at (0.000, 0.000, 0.000) and Cl at (0.000, 0.000, 0.500).

A relaxed structure of CaTiCl3. Source: the Alexandria database, functional GGA-PBE.

The calculation puts the uncorrected formation energy at -116.96 kJ/mol of atoms. Its distance to the lowest polymorph of the same formula is 0.0 meV per atom.

It has space group Pm-3m (No. 221), with a = 4.984 Å, b = 4.984 Å, c = 4.984 Å, α = 90.00°, β = 90.00° and γ = 90.00°. Symmetry generates all atoms from Ca at (0.000, 0.000, 0.000), Ti at (0.500, 0.500, 0.500) and Cl at (0.000, 0.500, 0.500).

A relaxed structure of CaTiCl3. Source: the Alexandria database, functional GGA-PBE.

The calculation puts the uncorrected formation energy at -97.20 kJ/mol of atoms. Its distance to the lowest polymorph of the same formula is 204.8 meV per atom.

It has space group Pm-3m (No. 221), with a = 5.275 Å, b = 5.275 Å, c = 5.275 Å, α = 90.00°, β = 90.00° and γ = 90.00°. Symmetry generates all atoms from Ca at (0.000, 0.000, 0.000), Ti at (0.500, 0.500, 0.500) and Cl at (0.000, 0.000, 0.500).